<P>
Entry from Alexandria: a relaxed Os2WCl crystal (GGA-PBEsol).

The structure belongs to space group Immm (No. 71); the cell edges are 2.8280, 4.4737 and 8.9045 Å and the angles 90.00°, 90.00° and 90.00°. The inequivalent atoms are Os at (0.0000, 0.0000, 0.2317), W at (0.0000, 0.5000, 0.0000) and Cl at (0.0000, 0.5000, 0.5000).

As for the spin magnetization: 0.00 μB/f.u.

***

<Q>
Entry from Alexandria: a relaxed Os2WCl crystal (GGA-PBEsol).

The structure belongs to space group P2/m (No. 10); the cell edges are 2.8234, 4.0484 and 5.1882 Å and the angles 90.00°, 104.96° and 90.00°. The inequivalent atoms are Os at (0.1355, 0.0000, 0.2611), W at (0.5000, 0.5000, 0.0000) and Cl at (0.5000, 0.5000, 0.5000).

As for the spin magnetization: 0.00 μB/f.u.

***

<R>
Entry from Alexandria: a relaxed Os2WCl crystal (GGA-PBEsol).

The structure belongs to space group Cmmm (No. 65); the cell edges are 2.8348, 4.8098 and 8.8797 Å and the angles 90.00°, 90.00° and 90.00°. The inequivalent atoms are Os at (0.0000, 0.0000, 0.2468), W at (0.0000, 0.5000, 0.0000) and Cl at (0.0000, 0.5000, 0.5000).

As for the spin magnetization: 0.00 μB/f.u.

***

Short version: <P> is the least stable of them.

***

<P>
Entry from Alexandria: a relaxed ZnOs2Cl crystal (GGA-PBEsol).

The structure belongs to space group Pmmm (No. 47); the cell edges are 2.7349, 3.9063 and 5.8299 Å and the angles 90.00°, 90.00° and 90.00°. The inequivalent atoms are Zn at (0.0000, 0.0000, 0.0000), Os at (0.5000, 0.5000, 0.2021) and Cl at (0.0000, 0.0000, 0.5000).

As for the spin magnetization: 0.00 μB/f.u.

***

<Q>
Entry from Alexandria: a relaxed ZnOs2Cl crystal (GGA-PBEsol).

The structure belongs to space group P4/mmm (No. 123); the cell edges are 4.3194, 4.3194 and 2.9346 Å and the angles 90.00°, 90.00° and 90.00°. The inequivalent atoms are Zn at (0.0000, 0.0000, 0.0000), Os at (0.0000, 0.5000, 0.5000) and Cl at (0.5000, 0.5000, 0.0000).

As for the spin magnetization: 0.00 μB/f.u.

***

Short version: <Q> is the least stable of them.

***

<P>
Entry from Alexandria: a relaxed ZrOsCl crystal (GGA-PBEsol).

The structure belongs to space group F-43m (No. 216); the cell edges are 6.2243, 6.2243 and 6.2243 Å and the angles 90.00°, 90.00° and 90.00°. The inequivalent atoms are Zr at (0.0000, 0.0000, 0.0000), Os at (0.2500, 0.2500, 0.2500) and Cl at (0.2500, 0.2500, 0.7500).

As for the spin magnetization: 0.00 μB/f.u.

***

<Q>
Entry from Alexandria: a relaxed ZrOsCl crystal (GGA-PBEsol).

The structure belongs to space group P-6m2 (No. 187); the cell edges are 4.2516, 4.2516 and 3.0772 Å and the angles 90.00°, 90.00° and 120.00°. The inequivalent atoms are Zr at (0.0000, 0.0000, 0.0000), Os at (0.6667, 0.3333, 0.5000) and Cl at (0.3333, 0.6667, 0.5000).

As for the spin magnetization: 0.00 μB/f.u.

***

Short version: <P> is the least stable of them.

***

<P>
Entry from Alexandria: a relaxed P2Cl crystal (GGA-PBEsol).

The structure belongs to space group Pnnm (No. 58); the cell edges are 5.4369, 7.3700 and 4.4895 Å and the angles 90.00°, 90.00° and 90.00°. The inequivalent atoms are P at (0.0914, 0.1157, 0.0000) and Cl at (0.0000, 0.5000, 0.5000).

As for the spin magnetization: 0.00 μB/f.u.

***

<Q>
Entry from Alexandria: a relaxed P2Cl crystal (GGA-PBEsol).

The structure belongs to space group P6/mmm (No. 191); the cell edges are 3.8750, 3.8750 and 4.5516 Å and the angles 90.00°, 90.00° and 120.00°. The inequivalent atoms are P at (0.3333, 0.6667, 0.0000) and Cl at (0.0000, 0.0000, 0.5000).

As for the spin magnetization: 0.00 μB/f.u.

***

Short version: <Q> is the least stable of them.

***

<P>
Entry from Alexandria: a relaxed P2RuPtCl crystal (GGA-PBEsol).

The structure belongs to space group P4/mmm (No. 123); the cell edges are 4.5690, 4.5690 and 4.7268 Å and the angles 90.00°, 90.00° and 90.00°. The inequivalent atoms are P at (0.0000, 0.5000, 0.0000), Ru at (0.0000, 0.0000, 0.5000), Pt at (0.5000, 0.5000, 0.0000) and Cl at (0.5000, 0.5000, 0.5000).

As for the spin magnetization: 2.13 μB/f.u.

***

<Q>
Entry from Alexandria: a relaxed P2RuPtCl crystal (GGA-PBEsol).

The structure belongs to space group P4/mmm (No. 123); the cell edges are 4.4456, 4.4456 and 4.6537 Å and the angles 90.00°, 90.00° and 90.00°. The inequivalent atoms are P at (0.0000, 0.5000, 0.0000), Ru at (0.0000, 0.0000, 0.0000), Pt at (0.5000, 0.5000, 0.5000) and Cl at (0.0000, 0.0000, 0.5000).

As for the spin magnetization: 0.00 μB/f.u.

***

Short version: <P> is the least stable of them.

***

<P>
Entry from Alexandria: a relaxed SrRePCl2 crystal (GGA-PBEsol).

The structure belongs to space group P4/mmm (No. 123); the cell edges are 4.9167, 4.9167 and 4.5631 Å and the angles 90.00°, 90.00° and 90.00°. The inequivalent atoms are Sr at (0.0000, 0.0000, 0.0000), Re at (0.5000, 0.5000, 0.5000), P at (0.5000, 0.5000, 0.0000) and Cl at (0.0000, 0.5000, 0.5000).

As for the spin magnetization: 0.00 μB/f.u.

***

<Q>
Entry from Alexandria: a relaxed SrRePCl2 crystal (GGA-PBEsol).

The structure belongs to space group P4/mmm (No. 123); the cell edges are 5.2497, 5.2497 and 5.9969 Å and the angles 90.00°, 90.00° and 90.00°. The inequivalent atoms are Sr at (0.0000, 0.0000, 0.0000), Re at (0.5000, 0.5000, 0.5000), P at (0.0000, 0.0000, 0.5000) and Cl at (0.0000, 0.5000, 0.0000).

As for the spin magnetization: 4.00 μB/f.u.

***

Short version: <Q> is the least stable of them.

***

<P>
Entry from Alexandria: a relaxed PRh2Cl crystal (GGA-PBEsol).

The structure belongs to space group I-4m2 (No. 119); the cell edges are 3.4396, 3.4396 and 9.5535 Å and the angles 90.00°, 90.00° and 90.00°. The inequivalent atoms are P at (0.0000, 0.0000, 0.0000), Rh at (0.0000, 0.0000, 0.5000), Rh at (0.0000, 0.5000, 0.2500) and Cl at (0.0000, 0.5000, 0.7500).

As for the spin magnetization: 0.00 μB/f.u.

***

<Q>
Entry from Alexandria: a relaxed PRh2Cl crystal (GGA-PBEsol).

The structure belongs to space group Pm (No. 6); the cell edges are 3.4216, 4.0319 and 5.2348 Å and the angles 90.00°, 94.22° and 90.00°. The inequivalent atoms are P at (0.0000, 0.0000, 0.0000), Rh at (0.0304, 0.5000, 0.1734), Rh at (0.5327, 0.0000, 0.2950) and Cl at (0.4516, 0.5000, 0.5580).

As for the spin magnetization: 0.00 μB/f.u.

***

<R>
Entry from Alexandria: a relaxed PRh2Cl crystal (GGA-PBEsol).

The structure belongs to space group P4/mmm (No. 123); the cell edges are 4.3004, 4.3004 and 2.9381 Å and the angles 90.00°, 90.00° and 90.00°. The inequivalent atoms are P at (0.0000, 0.0000, 0.0000), Rh at (0.0000, 0.5000, 0.5000) and Cl at (0.5000, 0.5000, 0.0000).

As for the spin magnetization: 0.00 μB/f.u.

***

<S>
Entry from Alexandria: a relaxed PRh2Cl crystal (GGA-PBEsol).

The structure belongs to space group Pmmm (No. 47); the cell edges are 2.8317, 3.8689 and 5.3479 Å and the angles 90.00°, 90.00° and 90.00°. The inequivalent atoms are P at (0.0000, 0.0000, 0.0000), Rh at (0.0000, 0.5000, 0.5000), Rh at (0.5000, 0.5000, 0.0000) and Cl at (0.5000, 0.0000, 0.5000).

As for the spin magnetization: 0.00 μB/f.u.

***

Short version: <P> is the least stable of them.

***

<P>
Entry from Alexandria: a relaxed P2RhSCl crystal (GGA-PBEsol).

The structure belongs to space group P4/mmm (No. 123); the cell edges are 4.4052, 4.4052 and 4.3821 Å and the angles 90.00°, 90.00° and 90.00°. The inequivalent atoms are P at (0.0000, 0.5000, 0.0000), Rh at (0.0000, 0.0000, 0.5000), S at (0.5000, 0.5000, 0.5000) and Cl at (0.5000, 0.5000, 0.0000).

As for the spin magnetization: 0.00 μB/f.u.

***

<Q>
Entry from Alexandria: a relaxed P2RhSCl crystal (GGA-PBEsol).

The structure belongs to space group P4/mmm (No. 123); the cell edges are 4.4404, 4.4404 and 4.3323 Å and the angles 90.00°, 90.00° and 90.00°. The inequivalent atoms are P at (0.0000, 0.5000, 0.0000), Rh at (0.0000, 0.0000, 0.5000), S at (0.5000, 0.5000, 0.0000) and Cl at (0.5000, 0.5000, 0.5000).

As for the spin magnetization: 0.00 μB/f.u.

***

Short version: <P> is the least stable of them.

***

<P>
Entry from Alexandria: a relaxed TiPRhCl2 crystal (GGA-PBEsol).

The structure belongs to space group P4/mmm (No. 123); the cell edges are 4.4852, 4.4852 and 4.9703 Å and the angles 90.00°, 90.00° and 90.00°. The inequivalent atoms are Ti at (0.0000, 0.0000, 0.0000), P at (0.0000, 0.0000, 0.5000), Rh at (0.5000, 0.5000, 0.5000) and Cl at (0.0000, 0.5000, 0.0000).

As for the spin magnetization: 2.05 μB/f.u.

***

<Q>
Entry from Alexandria: a relaxed TiPRhCl2 crystal (GGA-PBEsol).

The structure belongs to space group P4/mmm (No. 123); the cell edges are 4.7199, 4.7199 and 4.4896 Å and the angles 90.00°, 90.00° and 90.00°. The inequivalent atoms are Ti at (0.0000, 0.0000, 0.0000), P at (0.5000, 0.5000, 0.0000), Rh at (0.5000, 0.5000, 0.5000) and Cl at (0.0000, 0.5000, 0.5000).

As for the spin magnetization: 1.99 μB/f.u.

***

Short version: <Q> is the least stable of them.

***

<P>
Entry from Alexandria: a relaxed PRu2Cl crystal (GGA-PBEsol).

The structure belongs to space group Pmmm (No. 47); the cell edges are 2.7932, 3.8547 and 5.2727 Å and the angles 90.00°, 90.00° and 90.00°. The inequivalent atoms are P at (0.0000, 0.0000, 0.0000), Ru at (0.0000, 0.5000, 0.5000), Ru at (0.5000, 0.5000, 0.0000) and Cl at (0.5000, 0.0000, 0.5000).

As for the spin magnetization: 0.00 μB/f.u.

***

<Q>
Entry from Alexandria: a relaxed PRu2Cl crystal (GGA-PBEsol).

The structure belongs to space group Cmm2 (No. 35); the cell edges are 2.7595, 4.9203 and 9.1929 Å and the angles 90.00°, 90.00° and 90.00°. The inequivalent atoms are P at (0.0000, 0.0000, 0.0000), Ru at (0.0000, 0.0000, 0.4498), Ru at (0.0000, 0.5000, 0.2004) and Cl at (0.0000, 0.5000, 0.6560).

As for the spin magnetization: 0.00 μB/f.u.

***

Short version: <P> is the least stable of them.

***

<P>
Entry from Alexandria: a relaxed TlP2RuCl crystal (GGA-PBEsol).

The structure belongs to space group P4/mmm (No. 123); the cell edges are 4.9733, 4.9733 and 5.0890 Å and the angles 90.00°, 90.00° and 90.00°. The inequivalent atoms are Tl at (0.0000, 0.0000, 0.0000), P at (0.0000, 0.5000, 0.0000), Ru at (0.5000, 0.5000, 0.5000) and Cl at (0.0000, 0.0000, 0.5000).

As for the spin magnetization: 2.86 μB/f.u.

***

<Q>
Entry from Alexandria: a relaxed TlP2RuCl crystal (GGA-PBEsol).

The structure belongs to space group P4/mmm (No. 123); the cell edges are 4.4858, 4.4858 and 5.2729 Å and the angles 90.00°, 90.00° and 90.00°. The inequivalent atoms are Tl at (0.0000, 0.0000, 0.0000), P at (0.0000, 0.5000, 0.5000), Ru at (0.5000, 0.5000, 0.5000) and Cl at (0.5000, 0.5000, 0.0000).

As for the spin magnetization: 0.00 μB/f.u.

***

Short version: <P> is the least stable of them.

***

<P>
Entry from Alexandria: a relaxed PRuWCl2 crystal (GGA-PBEsol).

The structure belongs to space group P4/mmm (No. 123); the cell edges are 4.5718, 4.5718 and 4.8188 Å and the angles 90.00°, 90.00° and 90.00°. The inequivalent atoms are P at (0.0000, 0.0000, 0.0000), Ru at (0.5000, 0.5000, 0.0000), W at (0.0000, 0.0000, 0.5000) and Cl at (0.0000, 0.5000, 0.5000).

As for the spin magnetization: 2.64 μB/f.u.

***

<Q>
Entry from Alexandria: a relaxed PRuWCl2 crystal (GGA-PBEsol).

The structure belongs to space group P4/mmm (No. 123); the cell edges are 4.6343, 4.6343 and 4.5321 Å and the angles 90.00°, 90.00° and 90.00°. The inequivalent atoms are P at (0.0000, 0.0000, 0.0000), Ru at (0.0000, 0.0000, 0.5000), W at (0.5000, 0.5000, 0.0000) and Cl at (0.0000, 0.5000, 0.5000).

As for the spin magnetization: 3.83 μB/f.u.

***

Short version: <Q> is the least stable of them.